Here is crystalline LaWO2F at its relaxed geometry from Alexandria. Energies are from PBE+U.

```
LaWO2F
1.0
-1.4674 1.8197 -3.5474
-3.7581 0.6308 1.8781
1.3180 3.7490 1.3780
O W La F
2 1 1 1
Cartesian
-1.8790 0.3154 0.9391 O
-0.7337 0.9099 -1.7737 O
0.0000 0.0000 0.0000 W
-1.9537 3.0998 -0.1456 La
0.6590 1.8745 0.6890 F
```

Calculated values
Calculated volume: 15.2 A^3/atom
Calculated total energy: -34.01 eV/f.u.
Symmetry: P4/mmm

***

Here is crystalline AgBi2WO at its relaxed geometry from Alexandria. Energies are from PBE+U.

```
AgBi2WO
1.0
-3.4236 -3.5953 0.2471
0.4271 -0.7432 -4.8963
3.2148 -3.0106 0.7374
Bi W O Ag
2 1 1 1
Cartesian
-1.7118 -1.7977 0.1235 Bi
0.2136 -0.3716 -2.4481 Bi
0.1092 -3.6745 -1.9559 W
0.0000 0.0000 0.0000 O
1.6074 -1.5053 0.3687 Ag
```

Calculated values
Calculated volume: 22.1 A^3/atom
Calculated total energy: -20.58 eV/f.u.
Symmetry: P4/mmm

***

The highest calculated total energy belongs to which entry? AgBi2WO

***

Copy entry 1 word for word.
Here is crystalline LaWO2F at its relaxed geometry from Alexandria. Energies are from PBE+U.

```
LaWO2F
1.0
-1.4674 1.8197 -3.5474
-3.7581 0.6308 1.8781
1.3180 3.7490 1.3780
O W La F
2 1 1 1
Cartesian
-1.8790 0.3154 0.9391 O
-0.7337 0.9099 -1.7737 O
0.0000 0.0000 0.0000 W
-1.9537 3.0998 -0.1456 La
0.6590 1.8745 0.6890 F
```

Calculated values
Calculated volume: 15.2 A^3/atom
Calculated total energy: -34.01 eV/f.u.
Symmetry: P4/mmm

***

What is the formula in the second record? AgBi2WO

***

Copy entry 1 word for word.
Here is crystalline LaWO2F at its relaxed geometry from Alexandria. Energies are from PBE+U.

```
LaWO2F
1.0
-1.4674 1.8197 -3.5474
-3.7581 0.6308 1.8781
1.3180 3.7490 1.3780
O W La F
2 1 1 1
Cartesian
-1.8790 0.3154 0.9391 O
-0.7337 0.9099 -1.7737 O
0.0000 0.0000 0.0000 W
-1.9537 3.0998 -0.1456 La
0.6590 1.8745 0.6890 F
```

Calculated values
Calculated volume: 15.2 A^3/atom
Calculated total energy: -34.01 eV/f.u.
Symmetry: P4/mmm